No. 1
A plane-wave DFT calculation with PBE-GGA was carried out for an optimized crystal structure of CdSb4.

Cell: 5.480 5.480 5.480 Å, 90.00 90.00 90.00°
Space group Pm-3m (No. 221)
Asymmetric unit:
Cd 0.000 0.000 0.000 [1 per cell]
Sb 0.000 0.000 0.500 [3 per cell]
Sb 0.500 0.500 0.500 [1 per cell]

Properties
E_form (uncorrected)	0.779	eV/atom



No. 2
A plane-wave DFT calculation with PBE-GGA was carried out for an optimized crystal structure of Cd3Sb.

Cell: 4.445 4.445 5.056 Å, 90.00 90.00 90.00°
Space group P4mm (No. 99)
Asymmetric unit:
Cd 0.000 0.000 0.000 [1 per cell]
Cd 0.000 0.500 0.572 [2 per cell]
Sb 0.500 0.500 0.148 [1 per cell]

Properties
E_form (uncorrected)	0.072	eV/atom



No. 3
A plane-wave DFT calculation with PBE-GGA was carried out for an optimized crystal structure of CdSb3.

Cell: 6.394 10.797 3.139 Å, 90.00 90.00 90.00°
Space group Cmmm (No. 65)
Asymmetric unit:
Cd 0.000 0.000 0.000 [2 per cell]
Sb 0.000 0.500 0.000 [2 per cell]
Sb 0.250 0.250 0.500 [4 per cell]

Properties
E_form (uncorrected)	0.220	eV/atom



No. 4
A plane-wave DFT calculation with PBE-GGA was carried out for an optimized crystal structure of CdSb3.

Cell: 3.283 4.323 7.565 Å, 90.00 90.00 90.00°
Space group Pmmm (No. 47)
Asymmetric unit:
Cd 0.000 0.000 0.000 [1 per cell]
Sb 0.000 0.000 0.500 [1 per cell]
Sb 0.500 0.500 0.241 [2 per cell]

Properties
E_form (uncorrected)	0.223	eV/atom



No. 5
A plane-wave DFT calculation with PBE-GGA was carried out for an optimized crystal structure of Cd7Sb.

Cell: 9.069 9.069 9.069 Å, 90.00 90.00 90.00°
Space group Fm-3m (No. 225)
Asymmetric unit:
Cd 0.000 0.000 0.000 [4 per cell]
Cd 0.000 0.250 0.250 [24 per cell]
Sb 0.000 0.000 0.500 [4 per cell]

Properties
E_form (uncorrected)	0.073	eV/atom



No. 6
A plane-wave DFT calculation with PBE-GGA was carried out for an optimized crystal structure of Cd5Sb.

Cell: 3.223 3.223 13.761 Å, 90.00 90.00 90.00°
Space group P4/mmm (No. 123)
Asymmetric unit:
Cd 0.000 0.000 0.000 [1 per cell]
Cd 0.000 0.000 0.318 [2 per cell]
Cd 0.500 0.500 0.159 [2 per cell]
Sb 0.500 0.500 0.500 [1 per cell]

Properties
E_form (uncorrected)	0.068	eV/atom



No. 7
A plane-wave DFT calculation with PBE-GGA was carried out for an optimized crystal structure of CdSb.

Cell: 3.724 3.724 3.724 Å, 90.00 90.00 90.00°
Space group Pm-3m (No. 221)
Asymmetric unit:
Cd 0.000 0.000 0.000 [1 per cell]
Sb 0.500 0.500 0.500 [1 per cell]

Properties
E_form (uncorrected)	0.190	eV/atom



No. 8
A plane-wave DFT calculation with PBE-GGA was carried out for an optimized crystal structure of Cd6Sb.

Cell: 7.915 7.915 7.915 Å, 90.00 90.00 90.00°
Space group Im-3m (No. 229)
Asymmetric unit:
Cd 0.000 0.250 0.500 [12 per cell]
Sb 0.000 0.000 0.000 [2 per cell]

Properties
E_form (uncorrected)	0.534	eV/atom



No. 9
A plane-wave DFT calculation with PBE-GGA was carried out for an optimized crystal structure of CdSb5.

Cell: 4.197 18.593 4.408 Å, 90.00 90.00 90.00°
Space group Cmmm (No. 65)
Asymmetric unit:
Cd 0.000 0.000 0.000 [2 per cell]
Sb 0.000 0.133 0.500 [4 per cell]
Sb 0.000 0.310 0.000 [4 per cell]
Sb 0.000 0.500 0.500 [2 per cell]

Properties
E_form (uncorrected)	0.168	eV/atom



No. 10
A plane-wave DFT calculation with PBE-GGA was carried out for an optimized crystal structure of CdSb.

Cell: 8.060 8.060 8.060 Å, 90.00 90.00 90.00°
Space group Pm-3n (No. 223)
Asymmetric unit:
Cd 0.000 0.250 0.500 [6 per cell]
Sb 0.000 0.500 0.250 [6 per cell]

Properties
E_form (uncorrected)	0.261	eV/atom



No. 11
A plane-wave DFT calculation with PBE-GGA was carried out for an optimized crystal structure of CdSb3.

Cell: 3.3981 3.3981 10.6536 Å, 90.00 90.00 120.00°
Space group P-6m2 (No. 187)
Asymmetric unit:
Cd 0.0000 0.0000 0.0000 [1 per cell]
Sb 0.0000 0.0000 0.5000 [1 per cell]
Sb 0.6667 0.3333 0.2406 [2 per cell]

Properties
E_form (uncorrected)	0.235	eV/atom



No. 12
A plane-wave DFT calculation with PBE-GGA was carried out for an optimized crystal structure of CdSb.

Cell: 3.371 4.592 7.104 Å, 90.00 103.22 90.00°
Space group P2_1/m (No. 11)
Asymmetric unit:
Cd 0.185 0.250 0.370 [2 per cell]
Sb 0.408 0.250 0.819 [2 per cell]

Properties
E_form (uncorrected)	0.086	eV/atom